This record from Alexandria via LeMat-Bulk describes a relaxed structure of ErInTe2. The functional is PBE.

abc: 8.6635 8.6635 8.6635
angles: 29.16 29.16 29.16
Closest atoms and distances in Å follow each position.
Sites, in units of the cell vectors:
Er  0.0000  0.0000  0.0000  6 Te 3.07-3.08
In  0.1679  0.1679  0.1679  6 Te 3.45-3.48
Te  0.4049  0.4049  0.4049  3 Er 3.08
Te  0.5958  0.5958  0.5958  3 Er 3.07

space-group type = R3m, No. 160
formation energy (no corrections) = -0.9388 eV/atom
total moment = 0.00 μB per formula unit